#a
A plane-wave DFT calculation with PBE was carried out for Tl5HgAu after structural relaxation.

Properties
- space-group type = No. 15
- magnetic moment (Bohr magnetons per cell) = 0.00

```
Tl5HgAu
1.0
-3.892 -3.209 -3.594
-2.012 -4.515 3.733
-10.741 3.446 3.370
Tl Au Hg
10 2 2
direct
0.782 0.486 0.448 Tl
0.218 0.514 0.552 Tl
0.050 0.461 0.861 Tl
0.486 0.782 0.948 Tl
0.997 0.003 0.750 Tl
0.514 0.218 0.052 Tl
0.461 0.050 0.361 Tl
0.950 0.539 0.139 Tl
0.539 0.950 0.639 Tl
0.003 0.997 0.250 Tl
0.000 0.000 0.000 Au
0.000 0.000 0.500 Au
0.418 0.582 0.250 Hg
0.582 0.418 0.750 Hg
```

#b
A plane-wave DFT calculation with PBE was carried out for Tl5HgAu after structural relaxation.

Properties
- space-group type = No. 15
- magnetic moment (Bohr magnetons per cell) = 0.00

```
Tl5HgAu
1.0
6.254 -0.004 -2.826
-4.512 7.727 -1.769
0.393 -0.527 9.097
Tl Hg Au
10 2 2
direct
0.285 0.172 0.427 Tl
0.694 0.577 0.834 Tl
0.215 0.573 0.828 Tl
0.785 0.427 0.172 Tl
0.750 0.213 0.787 Tl
0.715 0.828 0.573 Tl
0.250 0.787 0.213 Tl
0.306 0.423 0.166 Tl
0.194 0.834 0.577 Tl
0.806 0.166 0.423 Tl
0.500 0.000 0.000 Hg
0.000 0.000 0.000 Hg
0.750 0.492 0.508 Au
0.250 0.508 0.492 Au
```

Taking the most stable structure as the zero point, the relative energies in meV/atom are #a 0; #b 22.

#a
A plane-wave DFT calculation with PBE was carried out for Tl4Hg2Au after structural relaxation.

Properties
- space-group type = No. 139
- magnetic moment (Bohr magnetons per cell) = 0.00

```
Tl4Hg2Au
1.0
5.552 0.000 0.000
0.000 5.552 0.000
-2.776 -2.776 7.915
Tl Au Hg
4 1 2
direct
0.815 0.815 0.630 Tl
0.000 0.500 0.000 Tl
0.500 0.000 0.000 Tl
0.185 0.185 0.370 Tl
0.000 0.000 0.000 Au
0.622 0.622 0.244 Hg
0.378 0.378 0.756 Hg
```

#b
A plane-wave DFT calculation with PBE was carried out for Tl4Hg2Au after structural relaxation.

Properties
- space-group type = No. 8
- magnetic moment (Bohr magnetons per cell) = 0.00

```
Tl4Hg2Au
1.0
7.221 0.139 -2.109
1.806 6.992 -2.111
0.023 0.021 8.352
Tl Hg Au
8 4 2
direct
0.120 0.650 0.467 Tl
0.111 0.111 0.319 Tl
0.704 0.165 0.001 Tl
0.615 0.615 0.288 Tl
0.165 0.704 0.001 Tl
0.650 0.120 0.467 Tl
0.098 0.098 0.829 Tl
0.633 0.633 0.878 Tl
0.416 0.895 0.600 Hg
0.352 0.352 0.723 Hg
0.895 0.416 0.600 Hg
0.318 0.318 0.171 Hg
0.839 0.839 0.194 Au
0.835 0.835 0.712 Au
```

Taking the most stable structure as the zero point, the relative energies in meV/atom are #a 107; #b 0.

#a
A plane-wave DFT calculation with PBE was carried out for TlHg6Au after structural relaxation.

Properties
- space-group type = No. 166
- magnetic moment (Bohr magnetons per cell) = 0.00

```
TlHg6Au
1.0
6.454 0.000 0.000
3.227 5.589 0.000
3.227 1.863 7.154
Hg Tl Au
6 1 1
direct
0.555 0.081 0.283 Hg
0.919 0.445 0.717 Hg
0.081 0.081 0.283 Hg
0.919 0.919 0.717 Hg
0.081 0.555 0.283 Hg
0.445 0.919 0.717 Hg
0.500 0.500 0.500 Tl
0.000 0.000 0.000 Au
```

#b
A plane-wave DFT calculation with PBE was carried out for TlHg6Au after structural relaxation.

Properties
- space-group type = No. 38
- magnetic moment (Bohr magnetons per cell) = 0.00

```
TlHg6Au
1.0
-3.768 -1.637 -1.588
2.727 -6.493 0.222
-2.956 0.628 6.365
Hg Tl Au
6 1 1
direct
0.000 0.890 0.110 Hg
0.000 0.795 0.592 Hg
0.000 0.344 0.656 Hg
0.500 0.612 0.863 Hg
0.000 0.408 0.205 Hg
0.500 0.137 0.388 Hg
0.500 0.116 0.884 Tl
0.500 0.698 0.302 Au
```

Taking the most stable structure as the zero point, the relative energies in meV/atom are #a 26; #b 0.

#a
A plane-wave DFT calculation with PBE was carried out for TlHg3Au3 after structural relaxation.

Properties
- space-group type = No. 223
- magnetic moment (Bohr magnetons per cell) = 0.00

```
TlHg3Au3
1.0
-6.828 -2.341 -2.982
-1.722 -3.558 6.736
-3.378 6.547 2.595
Tl Hg Au
2 6 6
direct
0.500 0.500 0.500 Tl
0.000 0.000 0.000 Tl
0.250 0.000 0.500 Hg
0.500 0.250 0.000 Hg
0.750 0.000 0.500 Hg
0.500 0.750 0.000 Hg
0.000 0.500 0.250 Hg
0.000 0.500 0.750 Hg
0.000 0.250 0.500 Au
0.000 0.750 0.500 Au
0.500 0.000 0.750 Au
0.500 0.000 0.250 Au
0.750 0.500 0.000 Au
0.250 0.500 0.000 Au
```

#b
A plane-wave DFT calculation with PBE was carried out for TlHg3Au3 after structural relaxation.

Properties
- space-group type = No. 166
- magnetic moment (Bohr magnetons per cell) = 0.00

```
TlHg3Au3
1.0
-6.426 -2.115 -3.704
-0.715 -7.197 -2.679
-5.063 -4.965 3.589
Au Hg Tl
6 6 2
direct
0.304 0.925 0.467 Au
0.075 0.696 0.533 Au
0.304 0.304 0.467 Au
0.696 0.075 0.533 Au
0.925 0.304 0.467 Au
0.696 0.696 0.533 Au
0.104 0.633 0.159 Hg
0.896 0.896 0.841 Hg
0.367 0.896 0.841 Hg
0.104 0.104 0.159 Hg
0.896 0.367 0.841 Hg
0.633 0.104 0.159 Hg
0.596 0.596 0.212 Tl
0.404 0.404 0.788 Tl
```

Taking the most stable structure as the zero point, the relative energies in meV/atom are #a 262; #b 0.

#a
A plane-wave DFT calculation with PBE was carried out for Tl4Hg3Au after structural relaxation.

Properties
- space-group type = No. 123
- magnetic moment (Bohr magnetons per cell) = 0.00

```
Tl4Hg3Au
1.0
-2.125 2.692 -1.072
-0.703 -1.768 -3.049
-13.553 -7.682 7.580
Tl Au Hg
4 1 3
direct
0.000 0.000 0.626 Tl
0.000 0.000 0.894 Tl
0.000 0.000 0.106 Tl
0.000 0.000 0.374 Tl
0.500 0.500 0.000 Au
0.500 0.500 0.500 Hg
0.500 0.500 0.241 Hg
0.500 0.500 0.759 Hg
```

#b
A plane-wave DFT calculation with PBE was carried out for Tl4Hg3Au after structural relaxation.

Properties
- space-group type = No. 25
- magnetic moment (Bohr magnetons per cell) = 0.00

```
Tl4Hg3Au
1.0
3.838 0.000 0.000
0.000 5.027 0.000
0.000 0.000 11.740
Tl Hg Au
4 3 1
direct
0.000 0.000 0.146 Tl
0.500 0.500 0.333 Tl
0.000 0.500 0.865 Tl
0.500 0.000 0.655 Tl
0.500 0.000 0.921 Hg
0.000 0.000 0.417 Hg
0.000 0.500 0.583 Hg
0.500 0.500 0.080 Au
```

Taking the most stable structure as the zero point, the relative energies in meV/atom are #a 0; #b 22.

#a
A plane-wave DFT calculation with PBE was carried out for Tl2Hg3Au after structural relaxation.

Properties
- space-group type = No. 62
- magnetic moment (Bohr magnetons per cell) = 0.00

```
Tl2Hg3Au
1.0
-4.908 -0.434 0.725
1.128 -9.568 1.909
1.695 2.828 13.175
Tl Au Hg
8 4 12
direct
0.750 0.329 0.454 Tl
0.250 0.372 0.815 Tl
0.750 0.171 0.954 Tl
0.750 0.872 0.685 Tl
0.750 0.628 0.185 Tl
0.250 0.829 0.046 Tl
0.250 0.128 0.315 Tl
0.250 0.671 0.546 Tl
0.750 0.635 0.415 Au
0.250 0.135 0.085 Au
0.250 0.365 0.585 Au
0.750 0.865 0.915 Au
0.750 0.205 0.692 Hg
0.750 0.530 0.679 Hg
0.750 0.559 0.934 Hg
0.250 0.059 0.566 Hg
0.250 0.705 0.808 Hg
0.250 0.795 0.308 Hg
0.750 0.970 0.179 Hg
0.250 0.470 0.321 Hg
0.750 0.295 0.192 Hg
0.250 0.030 0.821 Hg
0.750 0.941 0.434 Hg
0.250 0.441 0.066 Hg
```

#b
A plane-wave DFT calculation with PBE was carried out for Tl2Hg3Au after structural relaxation.

Properties
- space-group type = No. 25
- magnetic moment (Bohr magnetons per cell) = 0.00

```
Tl2Hg3Au
1.0
-1.552 -1.678 -2.621
4.056 1.044 -3.069
3.893 -7.599 2.560
Tl Hg Au
2 3 1
direct
0.000 0.500 0.029 Tl
0.000 0.000 0.483 Tl
0.500 0.500 0.656 Hg
0.500 0.000 0.831 Hg
0.500 0.000 0.172 Hg
0.500 0.500 0.330 Au
```

Taking the most stable structure as the zero point, the relative energies in meV/atom are #a 0; #b 25.

#a
A plane-wave DFT calculation with PBE was carried out for Tl8HgAu4 after structural relaxation.

Properties
- space-group type = No. 221
- magnetic moment (Bohr magnetons per cell) = 0.00

```
Tl8HgAu4
1.0
7.177 0.000 0.000
0.000 7.177 0.000
0.000 0.000 7.177
Tl Au Hg
8 4 1
direct
0.244 0.756 0.244 Tl
0.244 0.244 0.244 Tl
0.756 0.756 0.244 Tl
0.244 0.756 0.756 Tl
0.756 0.244 0.244 Tl
0.244 0.244 0.756 Tl
0.756 0.756 0.756 Tl
0.756 0.244 0.756 Tl
0.000 0.000 0.000 Au
0.500 0.000 0.500 Au
0.500 0.500 0.000 Au
0.000 0.500 0.500 Au
0.500 0.500 0.500 Hg
```

#b
A plane-wave DFT calculation with PBE was carried out for Tl8HgAu4 after structural relaxation.

Properties
- space-group type = No. 216
- magnetic moment (Bohr magnetons per cell) = 0.00

```
Tl8HgAu4
1.0
-2.537 -7.642 1.751
5.423 -6.201 0.181
2.047 -3.475 7.185
Tl Au Hg
8 4 1
direct
0.607 0.607 0.180 Tl
0.683 0.106 0.106 Tl
0.106 0.106 0.106 Tl
0.106 0.683 0.106 Tl
0.180 0.607 0.607 Tl
0.607 0.180 0.607 Tl
0.106 0.106 0.683 Tl
0.607 0.607 0.607 Tl
0.355 0.355 0.355 Au
0.355 0.936 0.355 Au
0.936 0.355 0.355 Au
0.355 0.355 0.936 Au
0.750 0.750 0.750 Hg
```

Taking the most stable structure as the zero point, the relative energies in meV/atom are #a 0; #b 50.

#a
A plane-wave DFT calculation with PBE was carried out for Tl3Hg7Au2 after structural relaxation.

Properties
- space-group type = No. 166
- magnetic moment (Bohr magnetons per cell) = 0.00

```
Tl3Hg7Au2
1.0
-5.069 0.078 -3.606
-0.152 -3.371 -5.226
-5.366 -8.581 1.989
Tl Hg Au
3 7 2
direct
0.856 0.856 0.433 Tl
0.000 0.000 0.000 Tl
0.144 0.144 0.567 Tl
0.075 0.584 0.758 Hg
0.416 0.925 0.242 Hg
0.500 0.500 0.500 Hg
0.416 0.416 0.242 Hg
0.925 0.416 0.242 Hg
0.584 0.584 0.758 Hg
0.584 0.075 0.758 Hg
0.666 0.666 0.003 Au
0.334 0.334 0.997 Au
```

#b
A plane-wave DFT calculation with PBE was carried out for Tl3Hg7Au2 after structural relaxation.

Properties
- space-group type = No. 65
- magnetic moment (Bohr magnetons per cell) = 0.00

```
Tl3Hg7Au2
1.0
-3.405 0.596 3.239
-0.164 -4.648 0.683
10.574 3.541 10.464
Hg Au Tl
7 2 3
direct
0.500 0.794 0.589 Hg
0.000 0.415 0.829 Hg
0.500 0.206 0.411 Hg
0.500 0.086 0.171 Hg
0.500 0.914 0.829 Hg
0.000 0.000 0.000 Hg
0.000 0.585 0.171 Hg
0.500 0.356 0.713 Au
0.500 0.644 0.287 Au
0.000 0.707 0.413 Tl
0.000 0.293 0.587 Tl
0.500 0.500 0.000 Tl
```

Taking the most stable structure as the zero point, the relative energies in meV/atom are #a 44; #b 0.

#a
A plane-wave DFT calculation with PBE was carried out for Tl5HgAu3 after structural relaxation.

Properties
- space-group type = No. 12
- magnetic moment (Bohr magnetons per cell) = 0.00

```
Tl5HgAu3
1.0
-0.598 -1.725 -7.840
-6.588 -4.621 -0.211
-8.747 3.613 -5.498
Au Hg Tl
6 2 10
direct
0.285 0.285 0.721 Au
0.000 0.000 0.500 Au
0.326 0.326 0.206 Au
0.674 0.674 0.794 Au
0.000 0.000 0.000 Au
0.715 0.715 0.279 Au
0.933 0.933 0.302 Hg
0.067 0.067 0.698 Hg
0.716 0.284 0.000 Tl
0.757 0.757 0.987 Tl
0.412 0.950 0.403 Tl
0.444 0.444 0.366 Tl
0.588 0.050 0.597 Tl
0.950 0.412 0.403 Tl
0.556 0.556 0.634 Tl
0.050 0.588 0.597 Tl
0.284 0.716 0.000 Tl
0.243 0.243 0.013 Tl
```

#b
A plane-wave DFT calculation with PBE was carried out for Tl5HgAu3 after structural relaxation.

Properties
- space-group type = No. 15
- magnetic moment (Bohr magnetons per cell) = 0.00

```
Tl5HgAu3
1.0
6.961 0.000 0.000
-3.480 7.441 -2.502
0.000 -0.099 9.822
Au Hg Tl
6 2 10
direct
0.333 0.666 0.668 Au
0.333 0.666 0.168 Au
0.000 0.000 0.000 Au
0.000 0.000 0.500 Au
0.667 0.334 0.832 Au
0.667 0.334 0.332 Au
0.750 0.000 0.750 Hg
0.250 0.000 0.250 Hg
0.082 0.669 0.414 Tl
0.086 0.672 0.923 Tl
0.253 0.000 0.750 Tl
0.587 0.669 0.914 Tl
0.747 0.000 0.250 Tl
0.914 0.328 0.077 Tl
0.414 0.328 0.577 Tl
0.918 0.331 0.586 Tl
0.413 0.331 0.086 Tl
0.586 0.672 0.423 Tl
```

Taking the most stable structure as the zero point, the relative energies in meV/atom are #a 84; #b 0.

#a
A plane-wave DFT calculation with PBE was carried out for TlZnHg2Au after structural relaxation.

Properties
- space-group type = No. 123
- magnetic moment (Bohr magnetons per cell) = 0.00

```
TlZnHg2Au
1.0
5.200 0.000 0.000
0.000 5.200 0.000
0.000 0.000 5.048
Zn Hg Au Tl
1 2 1 1
direct
0.000 0.000 0.000 Zn
0.000 0.500 0.000 Hg
0.500 0.000 0.000 Hg
0.000 0.000 0.500 Au
0.500 0.500 0.500 Tl
```

#b
A plane-wave DFT calculation with PBE was carried out for TlZnHg2Au after structural relaxation.

Properties
- space-group type = No. 123
- magnetic moment (Bohr magnetons per cell) = 0.00

```
TlZnHg2Au
1.0
-1.492 5.032 -1.296
-4.029 -1.972 -3.018
-3.020 0.123 3.952
Hg Zn Tl Au
2 1 1 1
direct
0.500 0.000 0.000 Hg
0.000 0.500 0.000 Hg
0.000 0.000 0.500 Zn
0.500 0.500 0.500 Tl
0.000 0.000 0.000 Au
```

Taking the most stable structure as the zero point, the relative energies in meV/atom are #a 21; #b 0.